Computed, not measured: a geometry-optimized Y4FeP structure at the PBE level of DFT.

Calculated values
For the uncorrected energy, the calculation gives -0.4293 Ry/atom. The density comes out at 4.6 g cm⁻³. As for the formation energy: 0.781 eV/atom. The value obtained for the density of states at the Fermi level is 1.501 states/eV per atom. The space group is No. 216.

Cell lengths 6.101, 6.101, 6.101 Å; angles 60.00, 60.00, 60.00 degrees
Each line ends with the local moment (μB).
Sites, in units of the cell vectors:
Y: 0.375 0.375 0.874  -0.05
Y: 0.375 0.375 0.375  -0.05
Y: 0.874 0.375 0.375  -0.05
Y: 0.375 0.874 0.375  -0.05
Fe: 0.750 0.750 0.750  3.01
P: 0.000 0.000 0.000  0.00